1.
KInMo2 PBE-GGA optimized geometry; E = -5.487 eV/atom; space group = P4/mmm (123); crystal system = tetragonal; density of states at the Fermi level = 2.71 states/eV per cell
1.0
3.727 0.000 0.000
0.000 3.727 0.000
0.000 0.000 7.612
Mo In K
2 1 1
Cartesian
0.000 0.000 0.806 Mo
0.000 0.000 3.000 Mo
1.864 1.864 1.903 In
1.864 1.864 5.709 K

---

2.
Al4Cl PBE-GGA optimized geometry; space group = Pm-3m (221); energy above the lowest structure with this stoichiometry = 637 meV/atom; energy relative to the elements, uncorrected = 0.714 eV per atom; crystal system = cubic; density of states at the Fermi level = 2.89 states/eV per cell
1.0
4.896 0.000 0.000
0.000 4.896 0.000
0.000 0.000 4.896
Al Cl
4 1
Cartesian
0.000 2.448 2.448 Al
2.448 2.448 0.000 Al
0.000 0.000 0.000 Al
2.448 0.000 2.448 Al
2.448 2.448 2.448 Cl

---

3.
LiHo3Rh2Pb3 PBE-GGA optimized geometry; E = -5.210 eV/atom; space group = P-62m (189); crystal system = hexagonal; density of states at the Fermi level = 4.30 states/eV per cell
1.0
3.624 0.000 0.000
0.000 7.960 0.000
0.000 -3.980 6.894
Ho Li Rh Pb
3 1 2 3
Cartesian
0.000 3.216 0.000 Ho
0.000 -1.608 2.785 Ho
0.000 2.372 4.109 Ho
0.000 0.000 0.000 Li
1.812 0.000 4.596 Rh
1.812 3.980 2.298 Rh
1.812 5.805 0.000 Pb
1.812 -2.903 5.027 Pb
1.812 1.077 1.866 Pb

---

- density of states at the Fermi level of number 1 (KInMo2)?
  2.71 states/eV per cell